Here is LiSiI3 at its PBEsol-relaxed geometry from Alexandria. Energies are from SCAN.

Structure (POSCAR):
```
LiSiI3
1.0
-2.255 -5.083 -0.732
5.055 -2.056 -1.295
0.905 -1.181 5.408
I Si Li
3 1 1
Direct
0.000 0.500 0.000 I
0.000 0.000 0.500 I
0.500 0.000 0.000 I
0.000 0.000 0.000 Si
0.500 0.500 0.500 Li
```

## Properties
energy relative to the elements, uncorrected: -0.258 eV per atom
electronic total energy: -24.7843 eV/atom
magnetic moment: 0.00 μB/cell

Here is Sr2RuW at its PBEsol-relaxed geometry from Alexandria. Energies are from SCAN.

Structure (POSCAR):
```
Sr2RuW
1.0
-3.079 -1.024 -0.609
-0.431 -0.614 3.215
-3.205 8.883 1.266
Ru Sr W
1 2 1
Direct
0.500 0.500 0.317 Ru
0.000 0.000 0.074 Sr
0.500 0.500 0.682 Sr
0.000 0.000 0.427 W
```

## Properties
electronic total energy: -36.7682 eV/atom
ΔH_f (0 K): 0.498 eV per atom
magnetic moment: 0.13 μB/cell

Here is SrNbRh3 at its PBEsol-relaxed geometry from Alexandria. Energies are from SCAN.

Structure (POSCAR):
```
SrNbRh3
1.0
4.691 0.000 0.000
0.000 4.691 0.000
0.000 0.000 4.691
Sr Nb Rh
1 1 3
Direct
0.000 0.000 0.000 Sr
0.500 0.500 0.500 Nb
0.000 0.500 0.000 Rh
0.000 0.000 0.500 Rh
0.500 0.000 0.000 Rh
```

## Properties
electronic total energy: -29.3623 eV/atom
ΔH_f (0 K): 1.982 eV per atom
magnetic moment: 1.92 μB/cell

Here is Hg9As4O16 at its PBEsol-relaxed geometry from Alexandria. Energies are from SCAN.

Structure (POSCAR):
```
Hg9As4O16
1.0
10.356 0.003 0.005
-3.262 9.829 0.005
-3.262 -4.520 8.728
Hg As O
18 8 32
Direct
0.404 0.181 0.455 Hg
0.181 0.455 0.404 Hg
0.455 0.404 0.181 Hg
0.955 0.681 0.904 Hg
0.681 0.904 0.955 Hg
0.904 0.955 0.681 Hg
0.194 0.644 0.275 Hg
0.644 0.275 0.194 Hg
0.275 0.194 0.644 Hg
0.775 0.144 0.694 Hg
0.144 0.694 0.775 Hg
0.694 0.775 0.144 Hg
0.352 0.107 0.973 Hg
0.107 0.973 0.352 Hg
0.973 0.352 0.107 Hg
0.473 0.607 0.852 Hg
0.607 0.852 0.473 Hg
0.852 0.473 0.607 Hg
0.383 0.885 0.164 As
0.885 0.164 0.383 As
0.164 0.383 0.885 As
0.664 0.385 0.883 As
0.385 0.883 0.664 As
0.883 0.664 0.385 As
0.063 0.063 0.063 As
0.563 0.563 0.563 As
0.097 0.988 0.909 O
0.988 0.909 0.097 O
0.909 0.097 0.988 O
0.409 0.488 0.597 O
0.488 0.597 0.409 O
0.597 0.409 0.488 O
0.204 0.783 0.147 O
0.783 0.147 0.204 O
0.147 0.204 0.783 O
0.647 0.283 0.704 O
0.283 0.704 0.647 O
0.704 0.647 0.283 O
0.464 0.077 0.279 O
0.077 0.279 0.464 O
0.279 0.464 0.077 O
0.779 0.577 0.964 O
0.577 0.964 0.779 O
0.964 0.779 0.577 O
0.366 0.874 0.989 O
0.874 0.989 0.366 O
0.989 0.366 0.874 O
0.489 0.374 0.866 O
0.374 0.866 0.489 O
0.866 0.489 0.374 O
0.308 0.999 0.728 O
0.999 0.728 0.308 O
0.728 0.308 0.999 O
0.228 0.499 0.808 O
0.499 0.808 0.228 O
0.808 0.228 0.499 O
0.217 0.217 0.217 O
0.717 0.717 0.717 O
```

## Properties
energy relative to the elements, uncorrected: -0.832 eV per atom
electronic total energy: -28.2102 eV/atom
magnetic moment: 0.00 μB/cell

Here is Al2ReNi at its PBEsol-relaxed geometry from Alexandria. Energies are from SCAN.

Structure (POSCAR):
```
Al2ReNi
1.0
2.769 0.000 0.000
0.000 3.197 0.000
0.000 0.000 5.863
Re Al Ni
1 2 1
Direct
0.500 0.500 0.500 Re
0.000 0.000 0.766 Al
0.000 0.000 0.234 Al
0.500 0.500 0.000 Ni
```

## Properties
electronic total energy: -26.1368 eV/atom
ΔH_f (0 K): -0.443 eV per atom
energy relative to the lowest polymorph listed for this composition: 40 meV per atom
magnetic moment: 0.00 μB/cell

Here is KBe2Si2 at its PBEsol-relaxed geometry from Alexandria. Energies are from SCAN.

Structure (POSCAR):
```
KBe2Si2
1.0
-3.850 -0.384 1.057
-0.504 -2.781 -2.846
3.423 -1.966 4.142
Be K Si
2 1 2
Direct
0.250 0.750 0.500 Be
0.750 0.250 0.500 Be
0.000 0.000 0.000 K
0.375 0.375 0.750 Si
0.625 0.625 0.250 Si
```

## Properties
energy relative to the elements, uncorrected: 0.179 eV per atom
electronic total energy: -7.2341 eV/atom
magnetic moment: 0.00 μB/cell

Here is Hg2MoPb at its PBEsol-relaxed geometry from Alexandria. Energies are from SCAN.

Structure (POSCAR):
```
Hg2MoPb
1.0
-1.804 -0.230 -2.493
1.191 -5.233 -0.378
-4.315 1.094 3.022
Hg Mo Pb
2 1 1
Direct
0.000 0.500 0.000 Hg
0.000 0.000 0.500 Hg
0.500 0.000 0.000 Mo
0.500 0.500 0.500 Pb
```

## Properties
electronic total energy: -61.1049 eV/atom
ΔH_f (0 K): 0.645 eV per atom
magnetic moment: 0.00 μB/cell

Here is AsRuCl2 at its PBEsol-relaxed geometry from Alexandria. Energies are from SCAN.

Structure (POSCAR):
```
AsRuCl2
1.0
-2.695 0.906 -0.769
0.846 -1.066 -4.221
-1.322 -5.752 3.499
Ru As Cl
1 1 2
Direct
0.000 0.500 0.000 Ru
0.500 0.000 0.000 As
0.650 0.650 0.301 Cl
0.350 0.350 0.699 Cl
```

## Properties
energy relative to the elements, uncorrected: -0.011 eV per atom
electronic total energy: -17.7539 eV/atom
energy relative to the lowest polymorph listed for this composition: 432 meV per atom
magnetic moment: 0.00 μB/cell

Here is MgCu2Ir at its PBEsol-relaxed geometry from Alexandria. Energies are from SCAN.

Structure (POSCAR):
```
MgCu2Ir
1.0
-0.030 2.055 2.275
0.864 -3.011 2.731
3.617 1.156 -3.062
Cu Ir Mg
2 1 1
Direct
0.990 0.990 0.980 Cu
0.260 0.760 0.520 Cu
0.507 0.507 0.014 Ir
0.743 0.243 0.486 Mg
```

## Properties
electronic total energy: -26.7199 eV/atom
ΔH_f (0 K): -0.102 eV per atom
magnetic moment: 0.00 μB/cell

Here is TaTeW2 at its PBEsol-relaxed geometry from Alexandria. Energies are from SCAN.

Structure (POSCAR):
```
TaTeW2
1.0
-0.271 1.374 -2.978
-4.170 -1.455 -0.292
0.686 4.042 3.622
Ta Te W
1 1 2
Direct
0.500 0.000 0.000 Ta
0.000 0.500 0.000 Te
0.752 0.752 0.505 W
0.248 0.248 0.495 W
```

## Properties
energy relative to the elements, uncorrected: 0.480 eV per atom
electronic total energy: -60.3227 eV/atom
magnetic moment: 0.00 μB/cell

Here is BaH2Pd at its PBEsol-relaxed geometry from Alexandria. Energies are from SCAN.

Structure (POSCAR):
```
BaH2Pd
1.0
4.475 0.000 0.000
2.238 3.876 0.000
2.238 1.292 3.654
H Ba Pd
2 1 1
Direct
0.250 0.250 0.250 H
0.750 0.750 0.750 H
0.500 0.500 0.500 Ba
0.000 0.000 0.000 Pd
```

## Properties
electronic total energy: -19.6893 eV/atom
energy relative to the lowest polymorph listed for this composition: 598 meV per atom
magnetic moment: 0.03 μB/cell

Here is SnBi2Pb at its PBEsol-relaxed geometry from Alexandria. Energies are from SCAN.

Structure (POSCAR):
```
SnBi2Pb
1.0
-1.325 -0.246 5.291
-4.430 -2.774 1.579
0.549 -4.693 2.736
Pb Bi Sn
1 2 1
Direct
0.500 0.500 0.500 Pb
0.250 0.250 0.250 Bi
0.750 0.750 0.750 Bi
0.000 0.000 0.000 Sn
```

## Properties
electronic total energy: -67.0470 eV/atom
ΔH_f (0 K): 0.168 eV per atom
magnetic moment: 0.00 μB/cell

Here is Os2RuCl at its PBEsol-relaxed geometry from Alexandria. Energies are from SCAN.

Structure (POSCAR):
```
Os2RuCl
1.0
2.754 0.000 0.000
0.000 4.226 0.014
-1.377 -0.113 4.952
Cl Os Ru
1 2 1
Direct
0.000 0.500 0.000 Cl
0.215 0.237 0.430 Os
0.785 0.763 0.570 Os
0.500 0.000 0.000 Ru
```

## Properties
energy relative to the elements, uncorrected: 0.806 eV per atom
electronic total energy: -45.8355 eV/atom
energy relative to the lowest polymorph listed for this composition: 281 meV per atom
magnetic moment: 0.00 μB/cell

Here is La3ScSn at its PBEsol-relaxed geometry from Alexandria. Energies are from SCAN.

Structure (POSCAR):
```
La3ScSn
1.0
5.962 0.000 0.000
0.000 5.962 0.000
0.000 0.000 5.962
Sc Sn La
1 1 3
Direct
0.500 0.500 0.500 Sc
0.000 0.000 0.000 Sn
0.000 0.500 0.000 La
0.000 0.000 0.500 La
0.500 0.000 0.000 La
```

## Properties
electronic total energy: -35.6746 eV/atom
ΔH_f (0 K): 0.220 eV per atom
magnetic moment: 3.42 μB/cell

Here is FeRhSe2 at its PBEsol-relaxed geometry from Alexandria. Energies are from SCAN.

Structure (POSCAR):
```
FeRhSe2
1.0
-0.739 2.478 2.752
-0.622 -2.848 2.397
5.071 0.030 1.335
Rh Fe Se
1 1 2
Direct
0.500 0.125 0.625 Rh
0.000 0.625 0.625 Fe
0.000 0.126 0.893 Se
0.500 0.624 0.357 Se
```

## Properties
energy relative to the elements, uncorrected: -0.221 eV per atom
electronic total energy: -23.2358 eV/atom
magnetic moment: 0.65 μB/cell

Here is MnCrCo2 at its PBEsol-relaxed geometry from Alexandria. Energies are from SCAN.

Structure (POSCAR):
```
MnCrCo2
1.0
-2.189 -1.036 0.031
0.818 -1.814 -2.865
1.737 -3.586 2.766
Cr Mn Co
1 1 2
Direct
0.500 0.500 0.000 Cr
0.500 0.500 0.500 Mn
0.000 0.000 0.254 Co
0.000 0.000 0.746 Co
```

## Properties
electronic total energy: -17.6597 eV/atom
ΔH_f (0 K): 0.152 eV per atom
magnetic moment: 1.24 μB/cell

Here is La2YPb at its PBEsol-relaxed geometry from Alexandria. Energies are from SCAN.

Structure (POSCAR):
```
La2YPb
1.0
4.864 0.000 0.000
0.000 4.864 0.000
-2.432 -2.432 5.039
Pb Y La
1 1 2
Direct
0.500 0.500 0.000 Pb
0.250 0.750 0.500 Y
0.000 0.000 0.000 La
0.750 0.250 0.500 La
```

## Properties
electronic total energy: -47.9184 eV/atom
ΔH_f (0 K): -0.460 eV per atom
magnetic moment: 0.00 μB/cell

Here is CeGe2Pt2 at its PBEsol-relaxed geometry from Alexandria. Energies are from SCAN.

Structure (POSCAR):
```
CeGe2Pt2
1.0
4.286 0.000 0.000
0.000 4.286 0.000
-2.143 -2.143 5.020
Ge Ce Pt
2 1 2
Direct
0.379 0.379 0.757 Ge
0.621 0.621 0.243 Ge
0.000 0.000 0.000 Ce
0.250 0.750 0.500 Pt
0.750 0.250 0.500 Pt
```

## Properties
electronic total energy: -45.5810 eV/atom
ΔH_f (0 K): -0.956 eV per atom
magnetic moment: 0.94 μB/cell

Here is TaTl2As at its PBEsol-relaxed geometry from Alexandria. Energies are from SCAN.

Structure (POSCAR):
```
TaTl2As
1.0
4.985 0.000 0.000
2.492 4.317 0.000
2.492 1.439 4.070
Tl As Ta
2 1 1
Direct
0.250 0.250 0.250 Tl
0.750 0.750 0.750 Tl
0.000 0.000 0.000 As
0.500 0.500 0.500 Ta
```

## Properties
electronic total energy: -56.8777 eV/atom
ΔH_f (0 K): 0.995 eV per atom
energy relative to the lowest polymorph listed for this composition: 358 meV per atom
magnetic moment: 2.04 μB/cell

Here is MgTe2Pt at its PBEsol-relaxed geometry from Alexandria. Energies are from SCAN.

Structure (POSCAR):
```
MgTe2Pt
1.0
-2.706 -2.279 -2.803
0.990 -4.045 2.334
-4.100 0.085 1.885
Mg Pt Te
1 1 2
Direct
0.474 0.000 0.474 Mg
0.269 0.500 0.269 Pt
0.085 0.000 0.085 Te
0.682 0.500 0.682 Te
```

## Properties
energy relative to the elements, uncorrected: -0.499 eV per atom
electronic total energy: -37.9162 eV/atom
magnetic moment: 0.00 μB/cell

Here is LaRuRh2 at its PBEsol-relaxed geometry from Alexandria. Energies are from SCAN.

Structure (POSCAR):
```
LaRuRh2
1.0
-0.803 -2.672 -0.506
1.895 0.065 -3.348
5.145 -2.089 2.871
La Rh Ru
1 2 1
Direct
0.500 0.500 0.756 La
0.000 0.000 0.034 Rh
0.500 0.500 0.271 Rh
0.000 0.000 0.439 Ru
```

## Properties
electronic total energy: -36.3221 eV/atom
ΔH_f (0 K): 0.046 eV per atom
energy relative to the lowest polymorph listed for this composition: 85 meV per atom
magnetic moment: 0.00 μB/cell

Here is MgCdAg2 at its PBEsol-relaxed geometry from Alexandria. Energies are from SCAN.

Structure (POSCAR):
```
MgCdAg2
1.0
-0.615 -2.916 -1.648
2.185 -1.619 2.050
-4.660 -1.261 3.970
Mg Ag Cd
1 2 1
Direct
0.500 0.500 0.771 Mg
0.000 0.000 0.000 Ag
0.500 0.500 0.242 Ag
0.000 0.000 0.487 Cd
```

## Properties
electronic total energy: -24.6701 eV/atom
ΔH_f (0 K): -0.140 eV per atom
magnetic moment: 0.00 μB/cell

Here is TaTlOs at its PBEsol-relaxed geometry from Alexandria. Energies are from SCAN.

Structure (POSCAR):
```
TaTlOs
1.0
-4.175 -1.144 0.788
-1.521 -3.881 -1.410
-0.898 -3.193 2.892
Os Ta Tl
1 1 1
Direct
0.000 0.000 0.000 Os
0.500 0.500 0.500 Ta
0.750 0.750 0.750 Tl
```

## Properties
electronic total energy: -68.8133 eV/atom
ΔH_f (0 K): 1.461 eV per atom
energy relative to the lowest polymorph listed for this composition: 614 meV per atom
magnetic moment: 1.11 μB/cell

Here is K2NaCeF6 at its PBEsol-relaxed geometry from Alexandria. Energies are from SCAN.

Structure (POSCAR):
```
K2NaCeF6
1.0
6.331 0.000 0.000
3.165 5.483 0.000
3.165 1.828 5.169
Na K Ce F
1 2 1 6
Direct
0.500 0.500 0.500 Na
0.250 0.250 0.250 K
0.750 0.750 0.750 K
0.000 0.000 0.000 Ce
0.251 0.749 0.251 F
0.251 0.251 0.749 F
0.749 0.749 0.251 F
0.251 0.749 0.749 F
0.749 0.251 0.749 F
0.749 0.251 0.251 F
```

## Properties
energy relative to the elements, uncorrected: -3.410 eV per atom
electronic total energy: -12.0778 eV/atom
magnetic moment: 1.00 μB/cell

Here is TiIrF2 at its PBEsol-relaxed geometry from Alexandria. Energies are from SCAN.

Structure (POSCAR):
```
TiIrF2
1.0
2.624 0.000 0.000
1.312 2.272 0.000
1.312 0.757 9.850
F Ir Ti
2 1 1
Direct
0.880 0.880 0.359 F
0.120 0.120 0.641 F
0.000 0.000 0.000 Ir
0.500 0.500 0.500 Ti
```

## Properties
energy relative to the elements, uncorrected: -1.650 eV per atom
electronic total energy: -25.2018 eV/atom
magnetic moment: 0.02 μB/cell